(1)
# NbSiSeN2 (GGA-PBE, optimized geometry)
data_NbSiSeN2
_cell_length_a 4.0063
_cell_length_b 4.0063
_cell_length_c 5.4330
_cell_angle_alpha 90.00
_cell_angle_beta 90.00
_cell_angle_gamma 90.00
_symmetry_space_group_name_H-M 'P 4/m m m'
_symmetry_Int_Tables_number 123
_symmetry_space_group_name_Hall '-P 4 2'
loop_
_atom_site_label
_atom_site_fract_x
_atom_site_fract_y
_atom_site_fract_z
Nb1 0.0000 0.0000 0.0000
Si1 0.5000 0.5000 0.5000
Se1 0.0000 0.0000 0.5000
N1 0.0000 0.5000 0.0000
# relative energy among the computed polymorphs: 0 meV per atom
# size of the total moment: 0.00 Bohr magnetons per cell

(2)
# W3Cl (GGA-PBE, optimized geometry)
data_W3Cl
_cell_length_a 6.0538
_cell_length_b 6.0538
_cell_length_c 4.4537
_cell_angle_alpha 90.00
_cell_angle_beta 90.00
_cell_angle_gamma 120.00
_symmetry_space_group_name_H-M 'P 63/m m c'
_symmetry_Int_Tables_number 194
_symmetry_space_group_name_Hall '-P 6c 2c'
loop_
_atom_site_label
_atom_site_fract_x
_atom_site_fract_y
_atom_site_fract_z
W1 0.1492 0.2983 0.2500
Cl1 0.3333 0.6667 0.7500
# relative energy among the computed polymorphs: 693 meV per atom
# size of the total moment: 0.00 Bohr magnetons per cell

(3)
# TbGaNi3Ge (GGA-PBE, optimized geometry)
data_TbGaNi3Ge
_cell_length_a 6.1482
_cell_length_b 11.5740
_cell_length_c 5.4303
_cell_angle_alpha 90.00
_cell_angle_beta 90.00
_cell_angle_gamma 90.00
_symmetry_space_group_name_H-M 'C m c m'
_symmetry_Int_Tables_number 63
_symmetry_space_group_name_Hall '-C 2c 2'
loop_
_atom_site_label
_atom_site_fract_x
_atom_site_fract_y
_atom_site_fract_z
Tb1 0.0000 0.2077 0.2500
Ga1 0.0000 0.4544 0.2500
Ni1 0.0000 0.3390 0.7500
Ni2 0.1993 0.0000 0.0000
Ge1 0.0000 0.1355 0.7500
# formation enthalpy at 0 K: -0.359 eV per atom
# size of the total moment: 0.00 Bohr magnetons per cell

(4)
# EuGa2Ge4 (GGA-PBE, optimized geometry)
data_EuGa2Ge4
_cell_length_a 4.2284
_cell_length_b 11.5159
_cell_length_c 12.9931
_cell_angle_alpha 90.00
_cell_angle_beta 90.00
_cell_angle_gamma 90.00
_symmetry_space_group_name_H-M 'C m c m'
_symmetry_Int_Tables_number 63
_symmetry_space_group_name_Hall '-C 2c 2'
loop_
_atom_site_label
_atom_site_fract_x
_atom_site_fract_y
_atom_site_fract_z
Eu1 0.0000 0.1960 0.2500
Ga1 0.0000 0.2542 0.5487
Ge1 0.0000 0.0721 0.6545
Ge2 0.0000 0.4690 0.5945
# relative energy among the computed polymorphs: 2 meV per atom
# formation enthalpy at 0 K: -0.230 eV per atom
# size of the total moment: 28.15 Bohr magnetons per cell

> Look up the size of the total moment of the first one.

0.00 Bohr magnetons per cell

> Which of these has the highest size of the total moment?

EuGa2Ge4